[1]
YMgZnAg: relaxed, PBE.

a = 4.894 Å, b = 4.894 Å, c = 4.894 Å
α = 60.00°, β = 60.00°, γ = 60.00°
Positions (direct):
Y 0.000 0.000 0.000
Mg 0.500 0.500 0.500
Zn 0.750 0.750 0.750
Ag 0.250 0.250 0.250

Output
Total energy = -3.36 eV per atom
Space group = F-43m (216)


[2]
MgZnAg2: relaxed, PBE.

a = 4.595 Å, b = 4.595 Å, c = 4.595 Å
α = 60.00°, β = 60.00°, γ = 60.00°
Positions (direct):
Mg 0.000 0.000 0.000
Zn 0.500 0.500 0.500
Ag 0.250 0.250 0.250
Ag 0.750 0.750 0.750

Output
Total energy = -2.29 eV per atom
Space group = Fm-3m (225)


[3]
MgZnAg2: relaxed, PBE.

a = 4.619 Å, b = 4.619 Å, c = 4.619 Å
α = 60.00°, β = 60.00°, γ = 60.00°
Positions (direct):
Mg 0.000 0.000 0.000
Zn 0.750 0.750 0.750
Ag 0.250 0.250 0.250
Ag 0.500 0.500 0.500

Output
Total energy = -2.23 eV per atom
Space group = F-43m (216)


[4]
MgZnAg2: relaxed, PBE.

a = 7.484 Å, b = 7.646 Å, c = 5.212 Å
α = 90.00°, β = 90.00°, γ = 90.00°
Positions (direct):
Mg 0.038 0.250 0.120
Mg 0.462 0.750 0.620
Mg 0.538 0.250 0.380
Mg 0.962 0.750 0.880
Zn 0.113 0.750 0.386
Zn 0.387 0.250 0.886
Zn 0.613 0.750 0.114
Zn 0.887 0.250 0.614
Ag 0.181 0.055 0.598
Ag 0.181 0.445 0.598
Ag 0.319 0.555 0.098
Ag 0.319 0.945 0.098
Ag 0.681 0.055 0.902
Ag 0.681 0.445 0.902
Ag 0.819 0.555 0.402
Ag 0.819 0.945 0.402

Output
Total energy = -2.20 eV per atom
Space group = Pnma (62)


[5]
MgZnAg2: relaxed, PBE.

a = 4.478 Å, b = 4.478 Å, c = 8.629 Å
α = 90.00°, β = 90.00°, γ = 120.00°
Positions (direct):
Mg 0.333 0.667 0.250
Mg 0.667 0.333 0.750
Zn 0.000 0.000 0.000
Zn 0.000 0.000 0.500
Ag 0.333 0.667 0.587
Ag 0.333 0.667 0.913
Ag 0.667 0.333 0.087
Ag 0.667 0.333 0.413

Output
Total energy = -2.24 eV per atom
Space group = P6_3/mmc (194)


[6]
MgZn2Ag: relaxed, PBE.

a = 4.568 Å, b = 5.761 Å, c = 5.026 Å
α = 90.00°, β = 90.00°, γ = 90.00°
Positions (direct):
Mg 0.250 0.250 0.151
Mg 0.750 0.750 0.849
Zn 0.250 0.503 0.655
Zn 0.250 0.997 0.655
Zn 0.750 0.003 0.345
Zn 0.750 0.497 0.345
Ag 0.250 0.750 0.177
Ag 0.750 0.250 0.823

Output
Total energy = -1.85 eV per atom
Space group = Pmmn (59)


[7]
MgZnAg2: relaxed, PBE.

a = 4.613 Å, b = 4.613 Å, c = 8.009 Å
α = 90.00°, β = 90.00°, γ = 120.00°
Positions (direct):
Mg 0.000 0.000 0.250
Mg 0.000 0.000 0.750
Zn 0.333 0.667 0.250
Zn 0.667 0.333 0.750
Ag 0.333 0.667 0.578
Ag 0.333 0.667 0.922
Ag 0.667 0.333 0.078
Ag 0.667 0.333 0.422

Output
Total energy = -2.16 eV per atom
Space group = P6_3/mmc (194)


[8]
Mg2ZnAg: relaxed, PBE.

a = 4.651 Å, b = 4.651 Å, c = 4.651 Å
α = 60.00°, β = 60.00°, γ = 60.00°
Positions (direct):
Mg 0.000 0.000 0.000
Mg 0.250 0.250 0.250
Zn 0.750 0.750 0.750
Ag 0.500 0.500 0.500

Output
Total energy = -1.88 eV per atom
Space group = F-43m (216)